Density functional theory data (PBE) for a relaxed structure of La2Ag.

a = 8.091 Å, b = 8.091 Å, c = 5.026 Å
α = 90.00°, β = 90.00°, γ = 120.00°
Element x y z (fractional)
Ag  0.000  0.000  0.500
Ag  0.333  0.667  0.000
Ag  0.667  0.333  0.000
La  0.000  0.263  0.000
La  0.000  0.591  0.500
La  0.263  0.000  0.000
La  0.737  0.737  0.000
La  0.591  0.000  0.500
La  0.409  0.409  0.500

As for the crystal system: hexagonal. The total energy is -4.3547 eV per atom. The value obtained for the energy relative to the elements is -0.4 eV per formula unit. Its calculated volume is 284.9 Å³/cell.